Entry 1:
## Pr2MgCd12Ag3 (PBE)

Data for a relaxed Pr2MgCd12Ag3 crystal.

```
data_Pr2MgCd12Ag3
_chemical_formula_sum 'Pr6 Mg3 Cd36 Ag9'
_cell_length_a 10.2774
_cell_length_b 10.2774
_cell_length_c 14.2059
_cell_angle_alpha 90.00
_cell_angle_beta 90.00
_cell_angle_gamma 120.00
_symmetry_space_group_name_H-M 'R -3 m'
_symmetry_Int_Tables_number 166
_symmetry_space_group_name_Hall '-R 3 2"'
loop_
_atom_site_label
_atom_site_fract_x
_atom_site_fract_y
_atom_site_fract_z
Pr1 0.0000 0.0000 0.2393
Mg1 0.0000 0.0000 0.5000
Cd1 0.0104 0.5052 0.2020
Cd2 0.0485 0.5243 0.5993
Ag1 0.0000 0.5000 0.0000
```

Entry 2:
## Pr4MgCd2Ag (PBE)

Data for a relaxed Pr4MgCd2Ag crystal.

```
data_Pr4MgCd2Ag
_chemical_formula_sum 'Pr12 Mg3 Cd6 Ag3'
_cell_length_a 5.4642
_cell_length_b 5.4642
_cell_length_c 26.7858
_cell_angle_alpha 90.00
_cell_angle_beta 90.00
_cell_angle_gamma 120.00
_symmetry_space_group_name_H-M 'R -3 m'
_symmetry_Int_Tables_number 166
_symmetry_space_group_name_Hall '-R 3 2"'
loop_
_atom_site_label
_atom_site_fract_x
_atom_site_fract_y
_atom_site_fract_z
Pr1 0.0000 0.0000 0.1212
Pr2 0.0000 0.0000 0.3720
Mg1 0.0000 0.0000 0.5000
Cd1 0.0000 0.0000 0.2441
Ag1 0.0000 0.0000 0.0000
```

| no. | energy of formation from the pure elements (eV/f.u.) |
| --- | --- |
| 1 | -0.354 |
| 2 | -2.020 |